Entry 1:
A plane-wave DFT calculation with PBE was carried out for Rb2AlH6 after structural relaxation.

Structure (CIF):
```
data_Rb2AlH6
_cell_length_a 5.7614
_cell_length_b 5.7614
_cell_length_c 9.6165
_cell_angle_alpha 90.00
_cell_angle_beta 90.00
_cell_angle_gamma 120.00
_symmetry_space_group_name_H-M 'P 1'
_symmetry_Int_Tables_number 1
loop_
_symmetry_equiv_pos_as_xyz
'x,y,z'
loop_
_atom_site_label
_atom_site_fract_x
_atom_site_fract_y
_atom_site_fract_z
_atom_site_occupancy
Rb1 0.0000 0.0000 0.0000 1
Rb2 0.0000 0.0000 0.5000 1
Rb3 0.3333 0.6667 0.2723 1
Rb4 0.6667 0.3333 0.7723 1
Al1 0.3333 0.6667 0.6499 1
Al2 0.6667 0.3333 0.1499 1
H1 0.0505 0.5252 0.5422 1
H2 0.1867 0.3733 0.7485 1
H3 0.1867 0.8133 0.7485 1
H4 0.3733 0.1867 0.2485 1
H5 0.4748 0.5252 0.5422 1
H6 0.4748 0.9495 0.5422 1
H7 0.5252 0.0505 0.0422 1
H8 0.5252 0.4748 0.0422 1
H9 0.6267 0.8133 0.7485 1
H10 0.8133 0.1867 0.2485 1
H11 0.8133 0.6267 0.2485 1
H12 0.9495 0.4748 0.0422 1
```

Summary:
energy	-2.870	eV/atom
space-group type	P6_3mc, No. 186
DOS(E_F)	5.047	states/eV per cell

***

Entry 2:
A plane-wave DFT calculation with PBE was carried out for Rb2AlH after structural relaxation.

Structure (CIF):
```
data_Rb2AlH
_cell_length_a 7.4715
_cell_length_b 7.4715
_cell_length_c 7.4715
_cell_angle_alpha 111.38
_cell_angle_beta 111.38
_cell_angle_gamma 105.71
_symmetry_space_group_name_H-M 'P 1'
_symmetry_Int_Tables_number 1
loop_
_symmetry_equiv_pos_as_xyz
'x,y,z'
loop_
_atom_site_label
_atom_site_fract_x
_atom_site_fract_y
_atom_site_fract_z
_atom_site_occupancy
Rb1 0.0251 0.6250 0.9001 1
Rb2 0.3750 0.2751 0.4001 1
Rb3 0.7249 0.1250 0.0999 1
Rb4 0.8750 0.9749 0.5999 1
Al1 0.2500 0.7500 0.5000 1
Al2 0.5000 0.5000 0.0000 1
H1 0.0000 0.0000 0.0000 1
H2 0.7500 0.2500 0.5000 1
```

Summary:
energy	-1.837	eV/atom
space-group type	I-42d, No. 122
DOS(E_F)	1.494	states/eV per cell

***

Entry 3:
A plane-wave DFT calculation with PBE was carried out for Rb2AlH4 after structural relaxation.

Structure (CIF):
```
data_Rb2AlH4
_cell_length_a 5.9343
_cell_length_b 5.8213
_cell_length_c 8.8104
_cell_angle_alpha 90.00
_cell_angle_beta 90.39
_cell_angle_gamma 90.00
_symmetry_space_group_name_H-M 'P 1'
_symmetry_Int_Tables_number 1
loop_
_symmetry_equiv_pos_as_xyz
'x,y,z'
loop_
_atom_site_label
_atom_site_fract_x
_atom_site_fract_y
_atom_site_fract_z
_atom_site_occupancy
Rb1 0.2321 0.2500 0.0035 1
Rb2 0.2340 0.2500 0.4972 1
Rb3 0.7660 0.7500 0.5028 1
Rb4 0.7679 0.7500 0.9965 1
Al1 0.2471 0.7500 0.7499 1
Al2 0.7529 0.2500 0.2501 1
H1 0.0737 0.5230 0.7495 1
H2 0.0737 0.9770 0.7495 1
H3 0.2835 0.7500 0.5525 1
H4 0.2859 0.7500 0.9476 1
H5 0.7141 0.2500 0.0524 1
H6 0.7165 0.2500 0.4475 1
H7 0.9263 0.0230 0.2505 1
H8 0.9263 0.4770 0.2505 1
```

Summary:
energy	-2.830	eV/atom
space-group type	P2_1/m, No. 11
DOS(E_F)	2.284	states/eV per cell

***

Entry 4:
A plane-wave DFT calculation with PBE was carried out for Rb2AlH2 after structural relaxation.

Structure (CIF):
```
data_Rb2AlH2
_cell_length_a 7.9908
_cell_length_b 7.9908
_cell_length_c 3.8256
_cell_angle_alpha 90.00
_cell_angle_beta 90.00
_cell_angle_gamma 90.00
_symmetry_space_group_name_H-M 'P 1'
_symmetry_Int_Tables_number 1
loop_
_symmetry_equiv_pos_as_xyz
'x,y,z'
loop_
_atom_site_label
_atom_site_fract_x
_atom_site_fract_y
_atom_site_fract_z
_atom_site_occupancy
Rb1 0.1506 0.3494 0.0000 1
Rb2 0.3494 0.8494 0.0000 1
Rb3 0.6506 0.1506 0.0000 1
Rb4 0.8494 0.6506 0.0000 1
Al1 0.0000 0.0000 0.5000 1
Al2 0.5000 0.5000 0.5000 1
H1 0.1621 0.6621 0.5000 1
H2 0.3379 0.1621 0.5000 1
H3 0.6621 0.8379 0.5000 1
H4 0.8379 0.3379 0.5000 1
```

Summary:
energy	-2.186	eV/atom
space-group type	P4/mbm, No. 127
DOS(E_F)	2.904	states/eV per cell